Crystalline Hf8ZnNi2 at its relaxed geometry, computed with PBE-GGA.

Values from the calculation:
- SG = C2/m
- E (eV/f.u.) = -92.8

```
Hf8ZnNi2
1.0
-0.505 -3.288 3.444
5.908 3.483 2.572
-6.375 3.517 0.805
Hf Zn Ni
8 1 2
direct
0.919 0.915 0.675
0.919 0.675 0.915
0.312 0.606 0.606
0.500 0.763 0.237
0.500 0.237 0.763
0.688 0.394 0.394
0.081 0.325 0.085
0.081 0.085 0.325
0.500 0.000 0.000
0.000 0.307 0.693
0.000 0.693 0.307
```